(1)
The following is a DFT calculation (PBE) of a relaxed structure of Er4InPd.

Lattice parameters (Å, degrees): 13.6285 13.6285 13.6285 90.00 90.00 90.00
Last column: nearest neighbours and their distance in Å.
Space group F-43m (No. 216)
Asymmetric unit:
Er 0.0000 0.0000 0.1859 (multiplicity 24)  2 In 3.22, 2 Pd 3.50, 6 Er 3.50-3.58
Er 0.0613 0.2500 0.7500 (multiplicity 24)  2 Pd 2.85
Er 0.1030 0.1030 0.3970 (multiplicity 16)  3 Pd 2.84
In 0.1663 0.1663 0.1663 (multiplicity 16)  9 Er 3.22-3.50, 3 In 3.22
Pd 0.1056 0.1056 0.6056 (multiplicity 16)  6 Er 2.84-2.85

(2)
The following is a DFT calculation (PBE) of a relaxed structure of Ba4Mn.

Computed properties:
For the relative energy among the computed polymorphs, the calculation gives 0 meV/atom.

Lattice parameters (Å, degrees): 6.5311 6.5311 6.5311 90.00 90.00 90.00
Last column: nearest neighbours and their distance in Å.
Space group Pm-3m (No. 221)
Asymmetric unit:
Ba 0.0000 0.0000 0.0000 (multiplicity 1)  12 Ba 4.62
Ba 0.0000 0.5000 0.5000 (multiplicity 3)  2 Mn 3.27
Mn 0.5000 0.5000 0.5000 (multiplicity 1)  6 Ba 3.27

(3)
The following is a DFT calculation (PBE) of a relaxed structure of Li2CoNi2.

Computed properties:
For the relative energy among the computed polymorphs, the calculation gives 154 meV/atom.

Lattice parameters (Å, degrees): 3.0812 3.0812 12.6084 90.00 90.00 90.00
Last column: nearest neighbours and their distance in Å.
Space group I4/mmm (No. 139)
Asymmetric unit:
Li 0.0000 0.5000 0.2500 (multiplicity 4)  4 Li 2.18
Co 0.0000 0.0000 0.0000 (multiplicity 2)  8 Ni 2.48
Ni 0.0000 0.0000 0.4061 (multiplicity 4)  1 Ni 2.37, 4 Co 2.48, 4 Li 2.50

(4)
The following is a DFT calculation (PBE) of a relaxed structure of LiNdLuIr.

Lattice parameters (Å, degrees): 7.0065 7.0065 7.0065 90.00 90.00 90.00
Last column: nearest neighbours and their distance in Å.
Space group F-43m (No. 216)
Asymmetric unit:
Li 0.0000 0.0000 0.0000 (multiplicity 4)  4 Lu 3.03, 4 Nd 3.03
Nd 0.2500 0.2500 0.7500 (multiplicity 4)  4 Li 3.03, 4 Ir 3.03
Lu 0.2500 0.2500 0.2500 (multiplicity 4)  4 Li 3.03, 4 Ir 3.03
Ir 0.0000 0.0000 0.5000 (multiplicity 4)  4 Nd 3.03, 4 Lu 3.03

| no. | ΔH_f (0 K) (meV/atom) |
| --- | --- |
| 1 | -527.6 |
| 2 | 328.7 |
| 3 | 422.7 |
| 4 | -512.9 |